VASP calculation (PBE-GGA) on an optimized crystal structure of ZrInSe2.

Summary:
symmetry = I-42d
formation energy without anion corrections = -587 meV per atom
VASP energy = -41.209 eV for the cell shown
magnetic moment = 0.239 μB/atom
D(E_F) = 6.27 states/eV per cell

Lattice parameters (Å, degrees): 7.146 7.146 7.437 61.28 61.28 90.00
Positions (direct):
Se (0.557, 0.125, 0.250)
Se (0.193, 0.625, 0.250)
Se (0.375, 0.443, 0.750)
Se (0.875, 0.807, 0.750)
Zr (0.500, 0.500, 0.000)
Zr (0.250, 0.750, 0.500)
In (0.000, 0.000, 0.000)
In (0.750, 0.250, 0.500)

VASP calculation (PBE-GGA) on an optimized crystal structure of HoUS2.

Summary:
symmetry = R3m
formation energy without anion corrections = -1580 meV per atom
polymorph energy (0 for the lowest one) = 83 meV/atom
VASP energy = -30.439 eV for the cell shown
magnetic moment = 0.763 μB/atom
D(E_F) = 2.48 states/eV per cell

Lattice parameters (Å, degrees): 3.739 3.739 7.293 75.15 75.15 60.00
Positions (direct):
Ho (0.671, 0.671, 0.986)
U (0.495, 0.495, 0.514)
S (0.080, 0.080, 0.759)
S (0.253, 0.253, 0.241)

VASP calculation (PBE-GGA) on an optimized crystal structure of AcLa4Sm4.

Summary:
symmetry = P-1
VASP energy = -84.908 eV for the cell shown
magnetic moment = 0.000 μB/atom
DFT formation energy = 0.03 eV/atom
D(E_F) = 32.59 states/eV per cell

Lattice parameters (Å, degrees): 9.843 11.163 11.162 86.88 104.52 144.99
Positions (direct):
Ac (0.364, 0.447, 0.696)
Ac (0.636, 0.553, 0.304)
La (0.196, 0.778, 0.530)
La (0.919, 0.665, 0.919)
La (0.747, 0.002, 0.751)
La (0.022, 0.110, 0.358)
La (0.978, 0.890, 0.642)
La (0.253, 0.998, 0.249)
La (0.081, 0.335, 0.081)
La (0.804, 0.222, 0.470)
Sm (0.137, 0.558, 0.808)
Sm (0.472, 0.888, 0.136)
Sm (0.583, 0.328, 0.586)
Sm (0.302, 0.217, 0.973)
Sm (0.417, 0.672, 0.414)
Sm (0.698, 0.783, 0.027)
Sm (0.863, 0.442, 0.192)
Sm (0.528, 0.112, 0.864)

VASP calculation (PBE-GGA) on an optimized crystal structure of CaPdI2O.

Summary:
symmetry = P4/mmm
formation energy without anion corrections = -308 meV per atom
polymorph energy (0 for the lowest one) = 307 meV/atom
VASP energy = -16.791 eV for the cell shown
magnetic moment = 0.409 μB/atom
D(E_F) = 7.39 states/eV per cell

Lattice parameters (Å, degrees): 6.090 6.090 4.209 90.00 90.00 90.00
Positions (direct):
I (0.000, 0.500, 0.000)
I (0.500, 0.000, 0.000)
Ca (0.000, 0.000, 0.000)
O (0.000, 0.000, 0.500)
Pd (0.500, 0.500, 0.500)

VASP calculation (PBE-GGA) on an optimized crystal structure of Sm5Dy6Th.

Summary:
symmetry = C2/m
VASP energy = -58.354 eV for the cell shown
magnetic moment = 0.000 μB/atom
DFT formation energy = 0.02 eV/atom
D(E_F) = 15.00 states/eV per cell

Lattice parameters (Å, degrees): 6.218 6.214 11.817 84.98 79.92 59.98
Positions (direct):
Th (0.000, 0.000, 0.000)
Sm (0.167, 0.666, 0.500)
Sm (0.333, 0.333, 0.000)
Sm (0.500, 0.000, 0.500)
Sm (0.667, 0.667, 0.000)
Sm (0.833, 0.334, 0.500)
Dy (0.588, 0.330, 0.249)
Dy (0.083, 0.330, 0.751)
Dy (0.753, 0.000, 0.752)
Dy (0.247, 0.000, 0.248)
Dy (0.917, 0.670, 0.249)
Dy (0.412, 0.670, 0.751)

VASP calculation (PBE-GGA) on an optimized crystal structure of YWCl3.

Summary:
symmetry = Pm-3m
formation energy without anion corrections = 156 meV per atom
polymorph energy (0 for the lowest one) = 310 meV/atom
VASP energy = -24.180 eV for the cell shown
magnetic moment = 0.034 μB/atom
D(E_F) = 6.93 states/eV per cell

Lattice parameters (Å, degrees): 4.806 4.806 4.806 90.00 90.00 90.00
Positions (direct):
Y (0.500, 0.500, 0.500)
W (0.000, 0.000, 0.000)
Cl (0.000, 0.500, 0.000)
Cl (0.000, 0.000, 0.500)
Cl (0.500, 0.000, 0.000)